Entry 1:
Density functional theory data (GGA-PBE) for an optimized crystal structure of Zn2MoRh2.

total energy = -5.860 eV per atom
energy above the lowest structure with this stoichiometry = 0 meV/atom
total magnetic moment = 0.000 μB per formula unit
ΔH_f (0 K) = -0.243 eV/atom
volume = 75 Å³ per cell
space group = Cmmm, No. 65

Lattice parameters (Å, degrees): 9.5962 9.5962 2.8225 90.00 90.00 163.19
Closest atoms and distances in Å follow each position.
Fractional positions:
Zn: 0.1898 0.8102 0.0000  4 Rh 2.66, 6 Zn 2.68-2.82
Zn: 0.8102 0.1898 0.0000  4 Rh 2.66, 6 Zn 2.68-2.82
Mo: 0.0000 0.0000 0.0000  8 Rh 2.71, 4 Mo 2.80-2.82
Rh: 0.4031 0.5969 0.5000  4 Zn 2.66, 4 Mo 2.71, 4 Rh 2.80-2.82
Rh: 0.5969 0.4031 0.5000  4 Zn 2.66, 4 Mo 2.71, 4 Rh 2.80-2.82


Entry 2:
Density functional theory data (GGA-PBE) for an optimized crystal structure of ZnMo2Rh.

total energy = -7.625 eV per atom
total magnetic moment = 0.000 μB per formula unit
ΔH_f (0 K) = -0.053 eV/atom
volume = 60 Å³ per cell
space group = P4mm, No. 99

Lattice parameters (Å, degrees): 2.7528 2.7528 7.9206 90.00 90.00 90.00
Closest atoms and distances in Å follow each position.
Fractional positions:
Zn: 0.0000 0.0000 0.0000  4 Rh 2.68, 4 Zn 2.75, 4 Mo 2.80
Mo: 0.0000 0.0000 0.5371  4 Rh 2.67, 8 Mo 2.75-2.96
Mo: 0.5000 0.5000 0.2548  8 Mo 2.75-2.96, 4 Zn 2.80
Rh: 0.5000 0.5000 0.7678  4 Mo 2.67, 4 Zn 2.68, 4 Rh 2.75


Entry 3:
Density functional theory data (GGA-PBE) for an optimized crystal structure of ZnMo2Rh.

total energy = -7.486 eV per atom
total magnetic moment = 0.000 μB per formula unit
ΔH_f (0 K) = 0.086 eV/atom
volume = 61 Å³ per cell
space group = R-3m, No. 166

Lattice parameters (Å, degrees): 9.2657 9.2657 9.2657 17.18 17.18 17.18
Closest atoms and distances in Å follow each position.
Fractional positions:
Zn: 0.0000 0.0000 0.0000  6 Zn 2.77, 6 Mo 2.83
Mo: 0.2482 0.2482 0.2482  3 Rh 2.75, 6 Mo 2.77, 3 Zn 2.83
Mo: 0.7518 0.7518 0.7518  3 Rh 2.75, 6 Mo 2.77, 3 Zn 2.83
Rh: 0.5000 0.5000 0.5000  6 Mo 2.75, 6 Rh 2.77


Entry 4:
Density functional theory data (GGA-PBE) for an optimized crystal structure of Zn2MoRh2.

total energy = -5.666 eV per atom
energy above the lowest structure with this stoichiometry = 193 meV/atom
total magnetic moment = 0.637 μB per formula unit
ΔH_f (0 K) = -0.050 eV/atom
volume = 145 Å³ per cell
space group = P4/mbm, No. 127

Lattice parameters (Å, degrees): 7.1310 7.1310 2.8462 90.00 90.00 90.00
Closest atoms and distances in Å follow each position.
Fractional positions:
Zn: 0.1215 0.3785 0.0000  1 Zn 2.45, 6 Rh 2.47-2.60
Zn: 0.3785 0.8785 0.0000  1 Zn 2.45, 6 Rh 2.47-2.60
Zn: 0.6215 0.1215 0.0000  1 Zn 2.45, 6 Rh 2.47-2.60
Zn: 0.8785 0.6215 0.0000  1 Zn 2.45, 6 Rh 2.47-2.60
Mo: 0.0000 0.0000 0.0000  4 Zn 2.83, 2 Mo 2.85, 8 Rh 2.98
Mo: 0.5000 0.5000 0.0000  4 Zn 2.83, 2 Mo 2.85, 8 Rh 2.98
Rh: 0.1782 0.6782 0.5000  6 Zn 2.47-2.60
Rh: 0.3218 0.1782 0.5000  6 Zn 2.47-2.60
Rh: 0.6782 0.8218 0.5000  6 Zn 2.47-2.60
Rh: 0.8218 0.3218 0.5000  6 Zn 2.47-2.60


Entry 5:
Density functional theory data (GGA-PBE) for an optimized crystal structure of ZnMo2Rh.

total energy = -7.607 eV per atom
total magnetic moment = 0.000 μB per formula unit
ΔH_f (0 K) = -0.035 eV/atom
volume = 60 Å³ per cell
space group = Pm, No. 6

Lattice parameters (Å, degrees): 2.7220 4.3997 4.9959 90.00 94.98 90.00
Closest atoms and distances in Å follow each position.
Fractional positions:
Zn: 0.0000 0.0000 0.0000  2 Rh 2.60, 7 Mo 2.66-2.85, 2 Zn 2.72
Mo: 0.4228 0.0000 0.5009  3 Zn 2.66-2.84, 4 Mo 2.69-2.72, 4 Rh 2.75-2.88
Mo: 0.5762 0.5000 0.2110  4 Mo 2.69-2.72, 3 Rh 2.72-2.80, 4 Zn 2.74-2.85
Rh: 0.0100 0.5000 0.7234  2 Zn 2.60, 2 Rh 2.72, 7 Mo 2.72-2.88


Entry 6:
Density functional theory data (GGA-PBE) for an optimized crystal structure of ZnMo3Rh.

total energy = -6.537 eV per atom
total magnetic moment = 0.000 μB per formula unit
ΔH_f (0 K) = 1.687 eV/atom
volume = 91 Å³ per cell
space group = Pm-3m, No. 221

Lattice parameters (Å, degrees): 4.4928 4.4928 4.4928 90.00 90.00 90.00
Closest atoms and distances in Å follow each position.
Fractional positions:
Zn: 0.0000 0.0000 0.0000  6 Mo 2.25
Mo: 0.0000 0.0000 0.5000  2 Zn 2.25
Mo: 0.0000 0.5000 0.0000  2 Zn 2.25
Mo: 0.5000 0.0000 0.0000  2 Zn 2.25
Rh: 0.5000 0.5000 0.5000  12 Mo 3.18


Entry 7:
Density functional theory data (GGA-PBE) for an optimized crystal structure of ZnMo2Rh.

total energy = -7.571 eV per atom
total magnetic moment = 0.000 μB per formula unit
ΔH_f (0 K) = 0.001 eV/atom
volume = 60 Å³ per cell
space group = Cmmm, No. 65

Lattice parameters (Å, degrees): 4.9517 4.9517 2.7084 90.00 90.00 116.27
Closest atoms and distances in Å follow each position.
Fractional positions:
Zn: 0.0000 0.0000 0.0000  2 Rh 2.61, 2 Zn 2.71, 8 Mo 2.82
Mo: 0.0000 0.5000 0.5000  4 Mo 2.61-2.71, 4 Rh 2.82, 4 Zn 2.82
Mo: 0.5000 0.0000 0.5000  4 Mo 2.61-2.71, 4 Rh 2.82, 4 Zn 2.82
Rh: 0.5000 0.5000 0.0000  2 Zn 2.61, 2 Rh 2.71, 8 Mo 2.82


Entry 8:
Density functional theory data (GGA-PBE) for an optimized crystal structure of ZnMo2Rh.

total energy = -7.509 eV per atom
total magnetic moment = 0.000 μB per formula unit
ΔH_f (0 K) = 0.063 eV/atom
volume = 60 Å³ per cell
space group = I-4m2, No. 119

Lattice parameters (Å, degrees): 4.8190 4.8190 4.8190 132.36 132.36 69.65
Closest atoms and distances in Å follow each position.
Fractional positions:
Zn: 0.0000 0.0000 0.0000  8 Mo 2.75-2.77, 4 Rh 2.77
Mo: 0.2500 0.7500 0.5000  4 Rh 2.75, 4 Mo 2.77, 4 Zn 2.77
Mo: 0.5000 0.5000 0.0000  4 Zn 2.75, 4 Mo 2.77, 4 Rh 2.77
Rh: 0.7500 0.2500 0.5000  8 Mo 2.75-2.77, 4 Zn 2.77